! SrCa3Pd PBE-GGA optimized geometry; values from VASP
&SYSTEM
  ibrav = 0, nat = 10, ntyp = 3
/
ATOMIC_SPECIES
Sr 87.62 Sr.upf
Ca 40.08 Ca.upf
Pd 106.42 Pd.upf
ATOMIC_POSITIONS crystal
Sr 0.333 0.667 0.750
Sr 0.667 0.333 0.250
Ca 0.000 0.000 0.250
Ca 0.000 0.000 0.750
Ca 0.333 0.667 0.073
Ca 0.333 0.667 0.427
Ca 0.667 0.333 0.573
Ca 0.667 0.333 0.927
Pd 0.000 0.000 0.000
Pd 0.000 0.000 0.500
CELL_PARAMETERS angstrom
5.029 -2.904 0.000
0.000 5.807 0.000
0.000 0.000 11.499
! Symmetry = P6_3/mmc
! Energy = -2.7047 eV per atom
! Magnetic moment = 0.0 Bohr magnetons per cell
! DFT formation energy = -129 meV per atom
! Energy relative to the lowest polymorph listed for this composition = 0.187 eV/atom